# 1
VASP calculation (PBE) on a geometry-optimized KTl4Hg structure.

Calculated volume   33.62 A^3/atom
Energy of formation   -0.1 eV/f.u.
Total magnetization   0.000 μB per formula unit
DFT total energy   -0.1343 Ry/atom
N(E_F)   0.433 states/eV per atom
ΔE to the lowest computed polymorph   0.065 eV/atom

a = 9.3096 Å, b = 9.3096 Å, c = 9.3096 Å
α = 90.00°, β = 90.00°, γ = 90.00°
Space group F-43m (No. 216)
Inequivalent atoms, fractional coordinates:
K 0.0000 0.0000 0.0000 [4 per cell]
Tl 0.1245 0.1245 0.3755 [16 per cell]
Hg 0.2500 0.2500 0.7500 [4 per cell]


# 2
VASP calculation (PBE) on a geometry-optimized KTl2Hg structure.

Calculated volume   32.69 A^3/atom
Energy of formation   -0.4 eV/f.u.
Total magnetization   0.000 μB per formula unit
DFT total energy   -0.1204 Ry/atom
N(E_F)   0.497 states/eV per atom
ΔE to the lowest computed polymorph   0.014 eV/atom

a = 7.4725 Å, b = 7.5334 Å, c = 9.9176 Å
α = 90.00°, β = 110.48°, γ = 90.00°
Space group C2/m (No. 12)
Inequivalent atoms, fractional coordinates:
K 0.1248 0.0000 0.2677 [4 per cell]
Tl 0.1073 0.5000 0.2238 [4 per cell]
Tl 0.2500 0.2500 0.0000 [4 per cell]
Hg 0.0000 0.2655 0.5000 [4 per cell]


# 3
VASP calculation (PBE) on a geometry-optimized KTlHg2 structure.

Calculated volume   36.24 A^3/atom
Energy of formation   0.0 eV/f.u.
Total magnetization   0.000 μB per formula unit
DFT total energy   -0.0748 Ry/atom
N(E_F)   0.424 states/eV per atom
ΔE to the lowest computed polymorph   0.163 eV/atom

a = 3.3665 Å, b = 6.5509 Å, c = 13.1448 Å
α = 90.00°, β = 90.00°, γ = 90.00°
Space group Immm (No. 71)
Inequivalent atoms, fractional coordinates:
K 0.0000 0.0000 0.0000 [2 per cell]
Tl 0.0000 0.0000 0.5000 [2 per cell]
Hg 0.0000 0.0000 0.2651 [4 per cell]


# 4
VASP calculation (PBE) on a geometry-optimized KTl7Hg4 structure.

Calculated volume   32.29 A^3/atom
Energy of formation   0.2 eV/f.u.
Total magnetization   0.000 μB per formula unit
DFT total energy   -0.1144 Ry/atom
N(E_F)   0.490 states/eV per atom

a = 13.5326 Å, b = 6.4258 Å, c = 10.5523 Å
α = 90.00°, β = 122.38°, γ = 90.00°
Space group C2/m (No. 12)
Inequivalent atoms, fractional coordinates:
K 0.0000 0.0000 0.0000 [2 per cell]
Tl 0.0000 0.5000 0.0000 [2 per cell]
Tl 0.0143 0.0000 0.3536 [4 per cell]
Tl 0.2094 0.5000 0.6428 [4 per cell]
Tl 0.2477 0.5000 0.0260 [4 per cell]
Hg 0.9997 0.5000 0.3055 [4 per cell]
Hg 0.2427 0.5000 0.3328 [4 per cell]


# 5
VASP calculation (PBE) on a geometry-optimized KTl2Hg structure.

Calculated volume   32.55 A^3/atom
Energy of formation   0.0 eV/f.u.
Total magnetization   0.000 μB per formula unit
DFT total energy   -0.1134 Ry/atom
N(E_F)   0.575 states/eV per atom
ΔE to the lowest computed polymorph   0.110 eV/atom

a = 6.6201 Å, b = 11.3885 Å, c = 3.4542 Å
α = 90.00°, β = 90.00°, γ = 90.00°
Space group Cmmm (No. 65)
Inequivalent atoms, fractional coordinates:
K 0.0000 0.0000 0.0000 [2 per cell]
Tl 0.2500 0.2500 0.5000 [4 per cell]
Hg 0.0000 0.5000 0.0000 [2 per cell]


# 6
VASP calculation (PBE) on a geometry-optimized KTl8Hg4 structure.

Calculated volume   36.12 A^3/atom
Energy of formation   1.1 eV/f.u.
Total magnetization   0.000 μB per formula unit
DFT total energy   -0.1136 Ry/atom
N(E_F)   0.686 states/eV per atom
ΔE to the lowest computed polymorph   0.123 eV/atom

a = 12.3380 Å, b = 12.3380 Å, c = 12.3380 Å
α = 90.00°, β = 90.00°, γ = 90.00°
Space group F-43m (No. 216)
Inequivalent atoms, fractional coordinates:
K 0.0000 0.0000 0.0000 [4 per cell]
Tl 0.1489 0.1489 0.3511 [16 per cell]
Tl 0.1524 0.1524 0.8476 [16 per cell]
Hg 0.0992 0.0992 0.5992 [16 per cell]